A relaxed structure of SiAsBr2, computed with PBE.

```
SiAsBr2
1.0
-1.000 0.235 3.281
2.432 -2.231 -0.963
6.396 6.325 1.496
Si As Br
1 1 2
Cartesian
2.315 0.583 1.533
5.513 3.745 2.281
3.092 3.058 0.723
0.106 0.105 0.025
```

Computed properties:
- Volume: 92.2 Å³/f.u.
- E_form (uncorrected): 45.22 kJ per mole of atoms
- Energy above the most stable polymorph in this dataset: 667 meV/atom
- Symmetry: Cmmm
- Crystal system: orthorhombic



A relaxed structure of SiAsBr2, computed with PBE.

```
SiAsBr2
1.0
-0.565 -0.820 -5.638
3.980 -3.885 -1.360
-4.851 1.010 2.868
Br As Si
2 1 1
Cartesian
0.042 -0.059 -0.087
1.665 -2.294 -3.412
-1.855 -1.081 -3.135
0.418 -2.614 -0.996
```

Computed properties:
- Volume: 93.1 Å³/f.u.
- E_form (uncorrected): 42.89 kJ per mole of atoms
- Energy above the most stable polymorph in this dataset: 643 meV/atom
- Symmetry: Immm
- Crystal system: orthorhombic



A relaxed structure of SiAsBr, computed with PBE.

```
SiAsBr
1.0
-2.842 -6.609 -0.560
0.509 -0.531 3.687
-5.854 2.597 1.182
Br As Si
2 2 2
Cartesian
-3.230 1.242 2.542
-0.557 0.209 0.107
-2.746 -3.247 1.828
-5.928 -1.683 0.576
-5.142 -3.348 2.144
-2.469 -4.381 -0.290
```

Computed properties:
- Volume: 88.3 Å³/f.u.
- E_form (uncorrected): -31.71 kJ per mole of atoms
- Energy above the most stable polymorph in this dataset: 0 meV/atom
- Symmetry: Cm
- Crystal system: monoclinic



A relaxed structure of SiAsBr2, computed with PBE.

```
SiAsBr2
1.0
8.460 -0.012 -0.007
7.606 3.704 -0.007
7.606 1.748 3.266
Br As Si
2 1 1
Cartesian
0.547 0.126 0.075
5.285 1.215 0.726
18.264 4.197 2.509
11.413 2.623 1.567
```

Computed properties:
- Volume: 102.9 Å³/f.u.
- E_form (uncorrected): 5.20 kJ per mole of atoms
- Energy above the most stable polymorph in this dataset: 252 meV/atom
- Symmetry: R3m
- Crystal system: trigonal



A relaxed structure of SiAsBr2, computed with PBE.

```
SiAsBr2
1.0
3.416 0.000 0.000
0.000 6.008 0.000
0.000 0.000 4.543
Si As Br
1 1 2
Cartesian
1.708 0.000 2.271
0.000 3.004 2.271
1.708 3.004 0.000
0.000 0.000 0.000
```

Computed properties:
- Volume: 93.2 Å³/f.u.
- E_form (uncorrected): 43.24 kJ per mole of atoms
- Energy above the most stable polymorph in this dataset: 647 meV/atom
- Symmetry: Pmmm
- Crystal system: orthorhombic



A relaxed structure of SiAsBr, computed with PBE.

```
SiAsBr
1.0
3.934 0.000 0.000
1.964 5.060 0.000
1.916 -0.352 9.664
Br As Si
2 2 2
Cartesian
6.021 2.848 8.103
4.056 0.403 1.594
2.091 1.580 4.699
2.090 -0.012 6.616
4.058 0.348 3.843
6.022 3.798 5.871
```

Computed properties:
- Volume: 96.2 Å³/f.u.
- E_form (uncorrected): -13.99 kJ per mole of atoms
- Energy above the most stable polymorph in this dataset: 184 meV/atom
- Symmetry: P1
- Crystal system: triclinic



A relaxed structure of SiAsBr2, computed with PBE.

```
SiAsBr2
1.0
-2.332 -6.746 6.535
0.957 -7.633 5.872
0.264 -5.146 8.192
Br As Si
2 1 1
Cartesian
-1.006 -17.682 18.656
-0.105 -1.842 1.944
0.000 0.000 0.000
-0.556 -9.762 10.300
```

Computed properties:
- Volume: 98.8 Å³/f.u.
- E_form (uncorrected): 36.41 kJ per mole of atoms
- Energy above the most stable polymorph in this dataset: 576 meV/atom
- Symmetry: R-3m
- Crystal system: trigonal



A relaxed structure of SiAsBr2, computed with PBE.

```
SiAsBr2
1.0
4.345 0.000 0.000
0.000 4.796 -0.007
0.000 0.342 4.782
Br Si As
2 1 1
Cartesian
0.000 2.549 2.369
0.000 0.020 0.018
2.173 1.284 1.194
2.173 3.853 3.581
```

Computed properties:
- Volume: 99.7 Å³/f.u.
- E_form (uncorrected): 37.05 kJ per mole of atoms
- Energy above the most stable polymorph in this dataset: 582 meV/atom
- Symmetry: Cmmm
- Crystal system: orthorhombic



A relaxed structure of SiAsBr2, computed with PBE.

```
SiAsBr2
1.0
7.696 0.107 0.006
5.511 5.373 -0.006
-6.391 -3.252 2.796
Br Si As
2 1 1
Cartesian
2.587 2.317 1.395
13.187 5.472 0.000
7.570 3.141 0.000
3.283 -0.481 1.401
```

Computed properties:
- Volume: 113.9 Å³/f.u.
- E_form (uncorrected): 22.63 kJ per mole of atoms
- Energy above the most stable polymorph in this dataset: 433 meV/atom
- Symmetry: Imm2
- Crystal system: orthorhombic



A relaxed structure of SiAsBr2, computed with PBE.

```
SiAsBr2
1.0
7.814 0.000 0.000
0.000 7.814 0.000
3.907 3.907 3.228
Si As Br
2 2 4
Cartesian
3.907 3.907 0.000
3.907 7.814 1.614
0.000 0.000 0.000
7.814 3.907 1.614
9.767 9.633 2.421
5.726 1.953 0.807
5.860 5.995 2.421
2.088 5.860 0.807
```

Computed properties:
- Volume: 98.6 Å³/f.u.
- E_form (uncorrected): 50.43 kJ per mole of atoms
- Energy above the most stable polymorph in this dataset: 721 meV/atom
- Symmetry: I-42d
- Crystal system: tetragonal



A relaxed structure of SiAsBr, computed with PBE.

```
SiAsBr
1.0
-4.295 -0.961 -1.354
-0.822 -1.204 -4.368
-1.181 -4.335 -1.010
Si As Br
1 1 1
Cartesian
-4.724 -4.875 -5.049
0.000 0.000 0.000
-3.149 -3.250 -3.366
```

Computed properties:
- Volume: 69.1 Å³/f.u.
- E_form (uncorrected): 46.56 kJ per mole of atoms
- Energy above the most stable polymorph in this dataset: 811 meV/atom
- Symmetry: F-43m
- Crystal system: cubic



A relaxed structure of SiAsBr2, computed with PBE.

```
SiAsBr2
1.0
4.823 -0.010 -0.018
-2.210 4.974 -0.011
0.403 2.314 4.180
Br As Si
2 1 1
Cartesian
2.613 1.152 2.081
0.000 0.000 0.000
1.307 2.482 -0.015
-0.904 3.644 2.085
```

Computed properties:
- Volume: 100.5 Å³/f.u.
- E_form (uncorrected): 36.40 kJ per mole of atoms
- Energy above the most stable polymorph in this dataset: 576 meV/atom
- Symmetry: C2/m
- Crystal system: monoclinic



A relaxed structure of SiAsBr2, computed with PBE.

```
SiAsBr2
1.0
3.874 0.000 0.000
0.000 5.730 0.008
0.000 4.662 5.366
Br As Si
2 1 1
Cartesian
1.937 2.881 1.732
0.000 4.481 5.001
1.937 7.150 3.638
0.000 5.738 3.057
```

Computed properties:
- Volume: 119.0 Å³/f.u.
- E_form (uncorrected): -9.51 kJ per mole of atoms
- Energy above the most stable polymorph in this dataset: 100 meV/atom
- Symmetry: Pm
- Crystal system: monoclinic



A relaxed structure of Si4AsBr, computed with PBE.

```
Si4AsBr
1.0
-3.643 -3.883 -0.254
-4.565 0.446 2.716
-4.581 0.809 -2.602
Si As Br
4 1 1
Cartesian
-7.078 -0.763 1.305
-6.617 -2.927 -0.179
-4.796 -0.986 -0.052
-7.086 -0.582 -1.353
-9.592 -1.972 -0.105
0.000 0.000 0.000
```

Computed properties:
- Volume: 107.1 Å³/f.u.
- E_form (uncorrected): 64.48 kJ per mole of atoms
- Symmetry: F-43m
- Crystal system: cubic



A relaxed structure of SiAsBr, computed with PBE.

```
SiAsBr
1.0
-4.682 -1.407 0.525
0.720 -4.716 -1.561
0.955 -3.802 7.036
As Si Br
2 2 2
Cartesian
-0.420 -2.104 2.675
-2.587 -7.820 3.325
-1.623 -5.864 2.244
-1.384 -4.060 3.756
-0.145 -4.915 5.453
-2.862 -5.009 0.547
```

Computed properties:
- Volume: 96.6 Å³/f.u.
- E_form (uncorrected): -28.52 kJ per mole of atoms
- Energy above the most stable polymorph in this dataset: 33 meV/atom
- Symmetry: P-1
- Crystal system: triclinic



A relaxed structure of SiAsBr2, computed with PBE.

```
SiAsBr2
1.0
-0.906 -1.350 2.862
3.151 -0.103 0.949
-1.056 10.585 4.660
Br Si As
2 1 1
Cartesian
-0.420 4.206 1.852
-0.108 1.087 0.478
0.858 1.919 3.070
0.330 7.212 5.400
```

Computed properties:
- Volume: 125.9 Å³/f.u.
- E_form (uncorrected): 51.11 kJ per mole of atoms
- Energy above the most stable polymorph in this dataset: 728 meV/atom
- Symmetry: P4/mmm
- Crystal system: tetragonal



A relaxed structure of SiAsBr, computed with PBE.

```
SiAsBr
1.0
7.483 0.039 0.000
5.904 4.598 0.000
-6.693 -2.318 2.413
Si As Br
1 1 1
Cartesian
7.102 2.460 0.000
1.292 0.447 0.000
4.993 1.729 0.000
```

Computed properties:
- Volume: 82.5 Å³/f.u.
- E_form (uncorrected): -0.55 kJ per mole of atoms
- Energy above the most stable polymorph in this dataset: 323 meV/atom
- Symmetry: I4mm
- Crystal system: tetragonal



A relaxed structure of SiAsBr, computed with PBE.

```
SiAsBr
1.0
4.806 0.000 0.000
0.517 5.083 0.000
1.396 1.286 7.813
Si As Br
2 2 2
Cartesian
4.259 5.529 3.148
5.504 0.944 4.666
1.924 2.044 2.790
2.590 4.053 4.122
3.414 3.361 6.264
4.610 4.742 1.045
```

Computed properties:
- Volume: 95.4 Å³/f.u.
- E_form (uncorrected): -4.61 kJ per mole of atoms
- Energy above the most stable polymorph in this dataset: 281 meV/atom
- Symmetry: P1
- Crystal system: triclinic



A relaxed structure of SiAsBr2, computed with PBE.

```
SiAsBr2
1.0
10.236 -0.284 -0.166
9.688 3.315 -0.166
9.688 1.474 2.974
Br As Si
2 1 1
Cartesian
28.853 4.390 2.574
15.566 2.368 1.389
22.209 3.379 1.981
7.403 1.126 0.660
```

Computed properties:
- Volume: 115.0 Å³/f.u.
- E_form (uncorrected): 40.05 kJ per mole of atoms
- Energy above the most stable polymorph in this dataset: 614 meV/atom
- Symmetry: R-3m
- Crystal system: trigonal



A relaxed structure of SiAsBr2, computed with PBE.

```
SiAsBr2
1.0
8.444 0.059 -0.046
7.640 3.595 -0.046
0.104 0.024 3.801
Br Si As
2 1 1
Cartesian
1.819 0.413 3.692
6.380 1.449 1.965
12.141 2.758 2.782
4.047 0.919 0.927
```

Computed properties:
- Volume: 113.7 Å³/f.u.
- E_form (uncorrected): 3.34 kJ per mole of atoms
- Energy above the most stable polymorph in this dataset: 233 meV/atom
- Symmetry: C2/m
- Crystal system: monoclinic